No. 1
Np3Al after structural relaxation, computed with PBE-GGA.

Summary:
**DFT total energy**: -10.29 eV per atom
**Offset from the most stable computed form**: 79 meV/atom

Unit cell a=6.284 b=6.284 c=4.916 alpha=90.00 beta=90.00 gamma=120.00
Sites, in units of the cell vectors:
1 Np 0.175 0.349 0.250
2 Np 0.175 0.825 0.250
3 Np 0.349 0.175 0.750
4 Np 0.651 0.825 0.250
5 Np 0.825 0.175 0.750
6 Np 0.825 0.651 0.750
7 Al 0.333 0.667 0.750
8 Al 0.667 0.333 0.250

***

No. 2
YMgBiOs after structural relaxation, computed with PBE-GGA.

Summary:
**DFT total energy**: -5.70 eV per atom
**Offset from the most stable computed form**: 39 meV/atom

Unit cell a=4.904 b=4.904 c=4.904 alpha=60.00 beta=60.00 gamma=60.00
Sites, in units of the cell vectors:
1 Y 0.000 0.000 0.000
2 Mg 0.750 0.750 0.750
3 Bi 0.250 0.250 0.250
4 Os 0.500 0.500 0.500

***

No. 3
Dy3Si4Pt after structural relaxation, computed with PBE-GGA.

Summary:
**DFT total energy**: -5.91 eV per atom

Unit cell a=5.678 b=3.825 c=7.535 alpha=90.00 beta=97.90 gamma=90.00
Sites, in units of the cell vectors:
1 Dy 0.000 0.000 0.000
2 Dy 0.174 0.000 0.480
3 Dy 0.694 0.500 0.621
4 Si 0.200 0.500 0.769
5 Si 0.481 0.000 0.838
6 Si 0.618 0.000 0.298
7 Si 0.885 0.500 0.271
8 Pt 0.527 0.500 0.049

***

No. 4
YEr2In3Pt2 after structural relaxation, computed with PBE-GGA.

Summary:
**DFT total energy**: -5.38 eV per atom

Unit cell a=3.616 b=7.701 c=7.701 alpha=120.24 beta=90.00 gamma=90.00
Sites, in units of the cell vectors:
1 Y 0.000 0.000 0.000
2 Er 0.000 0.159 0.580
3 Er 0.000 0.580 0.159
4 In 0.500 0.350 0.350
5 In 0.500 0.579 0.811
6 In 0.500 0.811 0.579
7 Pt 0.500 0.250 0.912
8 Pt 0.500 0.912 0.250

***

No. 5
TmScPd after structural relaxation, computed with PBE-GGA.

Summary:
**Energy relative to the elements**: -0.63 eV per atom
**DFT total energy**: -5.96 eV per atom
**Offset from the most stable computed form**: 0 meV/atom

Unit cell a=6.450 b=4.784 c=8.600 alpha=90.00 beta=90.00 gamma=90.00
Sites, in units of the cell vectors:
1 Tm 0.158 0.250 0.082
2 Tm 0.342 0.750 0.582
3 Tm 0.658 0.250 0.418
4 Tm 0.842 0.750 0.918
5 Sc 0.014 0.250 0.684
6 Sc 0.486 0.750 0.184
7 Sc 0.514 0.250 0.816
8 Sc 0.986 0.750 0.316
9 Pd 0.219 0.250 0.410
10 Pd 0.281 0.750 0.910
11 Pd 0.719 0.250 0.090
12 Pd 0.781 0.750 0.590

***

No. 6
Li4ZnSiNi2 after structural relaxation, computed with PBE-GGA.

Summary:
**DFT total energy**: -3.44 eV per atom

Unit cell a=4.091 b=4.091 c=5.717 alpha=90.00 beta=90.00 gamma=90.00
Sites, in units of the cell vectors:
1 Li 0.000 0.000 0.000
2 Li 0.000 0.500 0.250
3 Li 0.500 0.000 0.750
4 Li 0.500 0.500 0.500
5 Zn 0.000 0.000 0.500
6 Si 0.500 0.500 0.000
7 Ni 0.000 0.500 0.777
8 Ni 0.500 0.000 0.223

***

No. 7
ScCuSiPt after structural relaxation, computed with PBE-GGA.

Summary:
**DFT total energy**: -5.87 eV per atom
**Offset from the most stable computed form**: 163 meV/atom

Unit cell a=4.442 b=4.442 c=4.442 alpha=60.00 beta=60.00 gamma=60.00
Sites, in units of the cell vectors:
1 Sc 0.000 0.000 0.000
2 Cu 0.500 0.500 0.500
3 Si 0.750 0.750 0.750
4 Pt 0.250 0.250 0.250

***

No. 8
TlTcAg2 after structural relaxation, computed with PBE-GGA.

Summary:
**DFT total energy**: -3.98 eV per atom

Unit cell a=4.669 b=4.669 c=4.669 alpha=60.00 beta=60.00 gamma=60.00
Sites, in units of the cell vectors:
1 Tl 0.000 0.000 0.000
2 Tc 0.250 0.250 0.250
3 Ag 0.500 0.500 0.500
4 Ag 0.750 0.750 0.750

***

No. 9
Zr2Te2O5 after structural relaxation, computed with PBE-GGA.

Summary:
**DFT total energy**: -6.28 eV per atom
**Offset from the most stable computed form**: 773 meV/atom

Unit cell a=3.574 b=3.574 c=9.040 alpha=90.00 beta=90.00 gamma=90.00
Sites, in units of the cell vectors:
1 Zr 0.000 0.000 0.000
2 Zr 0.000 0.000 0.500
3 Te 0.500 0.500 0.189
4 Te 0.500 0.500 0.811
5 O 0.000 0.500 0.326
6 O 0.000 0.500 0.674
7 O 0.500 0.000 0.326
8 O 0.500 0.000 0.674
9 O 0.500 0.500 0.500

***

No. 10
HoZrPd after structural relaxation, computed with PBE-GGA.

Summary:
**Energy relative to the elements**: -0.22 eV per atom
**DFT total energy**: -6.32 eV per atom
**Offset from the most stable computed form**: 0 meV/atom

Unit cell a=4.718 b=4.718 c=4.718 alpha=60.00 beta=60.00 gamma=60.00
Sites, in units of the cell vectors:
1 Ho 0.000 0.000 0.000
2 Zr 0.500 0.500 0.500
3 Pd 0.250 0.250 0.250

***

No. 11
HoAgBiSb after structural relaxation, computed with PBE-GGA.

Summary:
**DFT total energy**: -4.42 eV per atom
**Offset from the most stable computed form**: 0 meV/atom

Unit cell a=4.416 b=4.416 c=10.323 alpha=90.00 beta=90.00 gamma=90.00
Sites, in units of the cell vectors:
1 Ho 0.250 0.250 0.247
2 Ho 0.750 0.750 0.753
3 Ag 0.250 0.750 0.500
4 Ag 0.750 0.250 0.500
5 Bi 0.250 0.750 0.000
6 Bi 0.750 0.250 0.000
7 Sb 0.250 0.250 0.685
8 Sb 0.750 0.750 0.315

***

No. 12
AgSn2PdF11 after structural relaxation, computed with PBE-GGA.

Summary:
**DFT total energy**: -4.36 eV per atom

Unit cell a=5.730 b=5.730 c=7.697 alpha=110.70 beta=110.70 gamma=72.71
Sites, in units of the cell vectors:
1 Ag 0.000 0.000 0.000
2 Sn 0.494 0.494 0.764
3 Sn 0.506 0.506 0.236
4 Pd 0.000 0.000 0.500
5 F 0.181 0.770 0.690
6 F 0.230 0.819 0.310
7 F 0.260 0.260 0.665
8 F 0.272 0.272 0.107
9 F 0.332 0.668 0.000
10 F 0.500 0.500 0.500
11 F 0.668 0.332 0.000
12 F 0.728 0.728 0.893
13 F 0.740 0.740 0.335
14 F 0.770 0.181 0.690
15 F 0.819 0.230 0.310

***

No. 13
La2SmPdPt2Pb3 after structural relaxation, computed with PBE-GGA.

Summary:
**DFT total energy**: -5.63 eV per atom

Unit cell a=4.165 b=7.889 c=7.889 alpha=119.97 beta=90.00 gamma=90.00
Sites, in units of the cell vectors:
1 La 0.000 0.206 0.794
2 La 0.000 0.794 0.206
3 Sm 0.000 0.383 0.383
4 Pd 0.000 0.791 0.791
5 Pt 0.500 0.127 0.459
6 Pt 0.500 0.459 0.127
7 Pb 0.500 0.049 0.049
8 Pb 0.500 0.539 0.790
9 Pb 0.500 0.790 0.539

***

No. 14
CdHgNO after structural relaxation, computed with PBE-GGA.

Summary:
**DFT total energy**: -3.24 eV per atom
**Offset from the most stable computed form**: 36 meV/atom

Unit cell a=3.565 b=6.389 c=5.969 alpha=90.00 beta=90.00 gamma=90.00
Sites, in units of the cell vectors:
1 Cd 0.000 0.163 0.000
2 Cd 0.000 0.837 0.500
3 Hg 0.500 0.326 0.486
4 Hg 0.500 0.674 0.986
5 N 0.000 0.161 0.371
6 N 0.000 0.839 0.871
7 O 0.500 0.333 0.878
8 O 0.500 0.667 0.378

***

No. 15
Sr2MgCuH6 after structural relaxation, computed with PBE-GGA.

Summary:
**DFT total energy**: -3.12 eV per atom

Unit cell a=5.480 b=5.480 c=5.480 alpha=60.00 beta=60.00 gamma=60.00
Sites, in units of the cell vectors:
1 Sr 0.250 0.250 0.250
2 Sr 0.750 0.750 0.750
3 Mg 0.000 0.000 0.000
4 Cu 0.500 0.500 0.500
5 H 0.261 0.261 0.739
6 H 0.261 0.739 0.261
7 H 0.261 0.739 0.739
8 H 0.739 0.261 0.261
9 H 0.739 0.261 0.739
10 H 0.739 0.739 0.261

***

No. 16
CuReAgAs after structural relaxation, computed with PBE-GGA.

Summary:
**DFT total energy**: -5.32 eV per atom
**Offset from the most stable computed form**: 0 meV/atom

Unit cell a=4.403 b=4.403 c=4.403 alpha=60.00 beta=60.00 gamma=60.00
Sites, in units of the cell vectors:
1 Cu 0.000 0.000 0.000
2 Re 0.500 0.500 0.500
3 Ag 0.250 0.250 0.250
4 As 0.750 0.750 0.750

***

No. 17
Nd2GdIn3AgPt2 after structural relaxation, computed with PBE-GGA.

Summary:
**DFT total energy**: -4.95 eV per atom

Unit cell a=3.943 b=7.873 c=7.873 alpha=119.86 beta=90.00 gamma=90.00
Sites, in units of the cell vectors:
1 Nd 0.000 0.206 0.794
2 Nd 0.000 0.794 0.206
3 Gd 0.000 0.619 0.619
4 In 0.500 0.208 0.471
5 In 0.500 0.471 0.208
6 In 0.500 0.941 0.941
7 Ag 0.000 0.208 0.208
8 Pt 0.500 0.541 0.869
9 Pt 0.500 0.869 0.541

***

No. 18
LuCoPt after structural relaxation, computed with PBE-GGA.

Summary:
**Energy relative to the elements**: -0.31 eV per atom
**DFT total energy**: -6.21 eV per atom

Unit cell a=4.415 b=4.415 c=4.415 alpha=60.00 beta=60.00 gamma=60.00
Sites, in units of the cell vectors:
1 Lu 0.000 0.000 0.000
2 Co 0.500 0.500 0.500
3 Pt 0.750 0.750 0.750

***

No. 19
HfZnFePb after structural relaxation, computed with PBE-GGA.

Summary:
**DFT total energy**: -5.47 eV per atom
**Offset from the most stable computed form**: 91 meV/atom

Unit cell a=4.694 b=4.694 c=4.694 alpha=60.00 beta=60.00 gamma=60.00
Sites, in units of the cell vectors:
1 Hf 0.000 0.000 0.000
2 Zn 0.750 0.750 0.750
3 Fe 0.500 0.500 0.500
4 Pb 0.250 0.250 0.250

***

No. 20
CsZrAs after structural relaxation, computed with PBE-GGA.

Summary:
**DFT total energy**: -4.09 eV per atom
**Offset from the most stable computed form**: 75 meV/atom

Unit cell a=5.198 b=5.198 c=5.198 alpha=60.00 beta=60.00 gamma=60.00
Sites, in units of the cell vectors:
1 Cs 0.000 0.000 0.000
2 Zr 0.500 0.500 0.500
3 As 0.250 0.250 0.250